! PBE-GGA Th2AgAu6, optimized geometry; values from VASP
&SYSTEM
  ibrav = 0, nat = 9, ntyp = 3
/
ATOMIC_SPECIES
Th 232.04 Th.upf
Ag 107.87 Ag.upf
Au 196.97 Au.upf
ATOMIC_POSITIONS crystal
Th 0.333 0.667 0.323
Th 0.667 0.333 0.677
Ag 0.000 0.000 0.500
Au 0.186 0.373 0.817
Au 0.186 0.814 0.817
Au 0.373 0.186 0.183
Au 0.627 0.814 0.817
Au 0.814 0.186 0.183
Au 0.814 0.627 0.183
CELL_PARAMETERS angstrom
6.517 0.000 0.000
-3.258 5.644 0.000
0.000 0.000 5.418
! * theoretical density: 14.615 g/cm3
! * symmetry: No. 164
! * final energy: -4.5935 eV per atom
! * energy of formation from the pure elements: -3.99 eV per formula unit